Record 1
The following is a PBE calculation of crystalline Pa2NiMo at its relaxed geometry, from Alexandria via LeMat-Bulk.

Computed properties:
Final energy   -8.867 eV/atom
Energy above the most stable polymorph in this dataset   40 meV/atom

```
data_Pa2NiMo
_space_group_name_H-M_alt 'P 1'
_space_group_IT_number 1
_cell_length_a 4.8306
_cell_length_b 4.8306
_cell_length_c 4.8306
_cell_angle_alpha 60.00
_cell_angle_beta 60.00
_cell_angle_gamma 60.00
loop_
_space_group_symop_operation_xyz
'x,y,z'
loop_
_atom_site_label
_atom_site_type_symbol
_atom_site_fract_x
_atom_site_fract_y
_atom_site_fract_z
_atom_site_occupancy
Ni1 Ni 0.5000 0.5000 0.5000 1
Mo1 Mo 0.0000 0.0000 0.0000 1
Pa1 Pa 0.2500 0.2500 0.2500 1
Pa2 Pa 0.7500 0.7500 0.7500 1
```

---

Record 2
The following is a PBE calculation of crystalline Pa2NiMo at its relaxed geometry, from Alexandria via LeMat-Bulk.

Computed properties:
Final energy   -8.907 eV/atom
Energy above the most stable polymorph in this dataset   0 meV/atom

```
data_Pa2NiMo
_space_group_name_H-M_alt 'P 1'
_space_group_IT_number 1
_cell_length_a 3.4506
_cell_length_b 3.4506
_cell_length_c 6.6484
_cell_angle_alpha 90.00
_cell_angle_beta 90.00
_cell_angle_gamma 90.00
loop_
_space_group_symop_operation_xyz
'x,y,z'
loop_
_atom_site_label
_atom_site_type_symbol
_atom_site_fract_x
_atom_site_fract_y
_atom_site_fract_z
_atom_site_occupancy
Ni1 Ni 0.5000 0.5000 0.0000 1
Mo1 Mo 0.5000 0.5000 0.5000 1
Pa1 Pa 0.0000 0.0000 0.7645 1
Pa2 Pa 0.0000 0.0000 0.2355 1
```

---

Record 3
The following is a PBE calculation of crystalline Pa2NiMo at its relaxed geometry, from Alexandria via LeMat-Bulk.

Computed properties:
Final energy   -8.494 eV/atom
Energy above the most stable polymorph in this dataset   414 meV/atom

```
data_Pa2NiMo
_space_group_name_H-M_alt 'P 1'
_space_group_IT_number 1
_cell_length_a 3.0527
_cell_length_b 3.0527
_cell_length_c 10.0191
_cell_angle_alpha 81.24
_cell_angle_beta 81.24
_cell_angle_gamma 60.00
loop_
_space_group_symop_operation_xyz
'x,y,z'
loop_
_atom_site_label
_atom_site_type_symbol
_atom_site_fract_x
_atom_site_fract_y
_atom_site_fract_z
_atom_site_occupancy
Ni1 Ni 0.0000 0.0000 0.0000 1
Mo1 Mo 0.5000 0.5000 0.5000 1
Pa1 Pa 0.0852 0.0852 0.7444 1
Pa2 Pa 0.9148 0.9148 0.2556 1
```

---

Record 4
The following is a PBE calculation of crystalline ScPaNiMo at its relaxed geometry, from Alexandria via LeMat-Bulk.

Computed properties:
Final energy   -8.244 eV/atom

```
data_ScPaNiMo
_space_group_name_H-M_alt 'P 1'
_space_group_IT_number 1
_cell_length_a 4.7115
_cell_length_b 4.7115
_cell_length_c 4.7115
_cell_angle_alpha 60.00
_cell_angle_beta 60.00
_cell_angle_gamma 60.00
loop_
_space_group_symop_operation_xyz
'x,y,z'
loop_
_atom_site_label
_atom_site_type_symbol
_atom_site_fract_x
_atom_site_fract_y
_atom_site_fract_z
_atom_site_occupancy
Sc1 Sc 0.2500 0.2500 0.2500 1
Ni1 Ni 0.0000 0.0000 0.0000 1
Mo1 Mo 0.5000 0.5000 0.5000 1
Pa1 Pa 0.7500 0.7500 0.7500 1
```

---

Record 5
The following is a PBE calculation of crystalline PaNiSnMo at its relaxed geometry, from Alexandria via LeMat-Bulk.

Computed properties:
Final energy   -7.536 eV/atom

```
data_PaNiSnMo
_space_group_name_H-M_alt 'P 1'
_space_group_IT_number 1
_cell_length_a 4.7357
_cell_length_b 4.7357
_cell_length_c 4.7357
_cell_angle_alpha 60.00
_cell_angle_beta 60.00
_cell_angle_gamma 60.00
loop_
_space_group_symop_operation_xyz
'x,y,z'
loop_
_atom_site_label
_atom_site_type_symbol
_atom_site_fract_x
_atom_site_fract_y
_atom_site_fract_z
_atom_site_occupancy
Ni1 Ni 0.5000 0.5000 0.5000 1
Mo1 Mo 0.0000 0.0000 0.0000 1
Pa1 Pa 0.7500 0.7500 0.7500 1
Sn1 Sn 0.2500 0.2500 0.2500 1
```

---

Record 6
The following is a PBE calculation of crystalline NiMo2Pb at its relaxed geometry, from Alexandria via LeMat-Bulk.

Computed properties:
Final energy   -7.332 eV/atom

```
data_NiMo2Pb
_space_group_name_H-M_alt 'P 1'
_space_group_IT_number 1
_cell_length_a 4.5205
_cell_length_b 3.8166
_cell_length_c 3.8166
_cell_angle_alpha 90.00
_cell_angle_beta 90.00
_cell_angle_gamma 90.00
loop_
_space_group_symop_operation_xyz
'x,y,z'
loop_
_atom_site_label
_atom_site_type_symbol
_atom_site_fract_x
_atom_site_fract_y
_atom_site_fract_z
_atom_site_occupancy
Mo1 Mo 0.0000 0.0000 0.0000 1
Mo2 Mo 0.0000 0.5000 0.5000 1
Ni1 Ni 0.5000 0.5000 0.0000 1
Pb1 Pb 0.5000 0.0000 0.5000 1
```

---

Look up the final energy of the fourth one. -8.244 eV/atom